Density functional theory data (GGA-PBE) for crystalline PrBiH2 at its relaxed geometry.

Cell lengths 6.629, 6.629, 6.525 Å; angles 90.00, 90.00, 147.17 degrees
Positions (direct):
Pr 0.224 0.776 0.750
Pr 0.776 0.224 0.250
Bi 0.044 0.956 0.250
Bi 0.956 0.044 0.750
H 0.307 0.693 0.055
H 0.307 0.693 0.445
H 0.693 0.307 0.555
H 0.693 0.307 0.945

- electronic total energy (eV/atom) = -4.297


Density functional theory data (GGA-PBE) for crystalline Pr2Bi2H at its relaxed geometry.

Cell lengths 8.633, 8.633, 7.755 Å; angles 90.00, 90.00, 149.21 degrees
Positions (direct):
Pr 0.069 0.931 0.500
Pr 0.344 0.656 0.369
Pr 0.656 0.344 0.869
Pr 0.931 0.069 0.000
Bi 0.292 0.708 0.958
Bi 0.464 0.536 0.702
Bi 0.536 0.464 0.202
Bi 0.708 0.292 0.458
H 0.117 0.883 0.788
H 0.883 0.117 0.288

- electronic total energy (eV/atom) = -4.771


Density functional theory data (GGA-PBE) for crystalline Pr2BiH at its relaxed geometry.

Cell lengths 8.571, 5.473, 8.777 Å; angles 90.00, 104.92, 90.00 degrees
Positions (direct):
Pr 0.004 0.248 0.126
Pr 0.004 0.252 0.626
Pr 0.359 0.244 0.465
Pr 0.359 0.256 0.965
Pr 0.641 0.744 0.035
Pr 0.641 0.756 0.535
Pr 0.996 0.748 0.374
Pr 0.996 0.752 0.874
Bi 0.310 0.747 0.703
Bi 0.310 0.753 0.203
Bi 0.690 0.247 0.797
Bi 0.690 0.253 0.297
H 0.090 0.152 0.398
H 0.090 0.348 0.898
H 0.910 0.652 0.102
H 0.910 0.848 0.602

- polymorph energy (0 for the lowest one) (eV/f.u.) = 0.000


Density functional theory data (GGA-PBE) for crystalline Pr2BiH at its relaxed geometry.

Cell lengths 7.221, 7.221, 7.221 Å; angles 34.61, 34.61, 34.61 degrees
Positions (direct):
Pr 0.236 0.236 0.236
Pr 0.764 0.764 0.764
Bi 0.000 0.000 0.000
H 0.500 0.500 0.500

- polymorph energy (0 for the lowest one) (eV/f.u.) = 0.646


Density functional theory data (GGA-PBE) for crystalline PrBiH at its relaxed geometry.

Cell lengths 4.123, 4.123, 9.949 Å; angles 90.00, 90.00, 120.00 degrees
Positions (direct):
Pr 0.333 0.667 0.352
Pr 0.667 0.333 0.648
Bi 0.333 0.667 0.897
Bi 0.667 0.333 0.103
H 0.333 0.667 0.589
H 0.667 0.333 0.411

- polymorph energy (0 for the lowest one) (eV/f.u.) = 0.929


Density functional theory data (GGA-PBE) for crystalline Pr5Bi4H at its relaxed geometry.

Cell lengths 7.899, 7.899, 7.899 Å; angles 99.79, 99.79, 131.29 degrees
Positions (direct):
Pr 0.000 0.000 0.000
Pr 0.124 0.322 0.597
Pr 0.322 0.724 0.197
Pr 0.527 0.124 0.803
Pr 0.724 0.527 0.403
Bi 0.021 0.625 0.798
Bi 0.223 0.021 0.396
Bi 0.625 0.827 0.604
Bi 0.827 0.223 0.202
H 0.364 0.364 0.000

- electronic total energy (eV/atom) = -4.999


Density functional theory data (GGA-PBE) for crystalline Pr4Bi5H2 at its relaxed geometry.

Cell lengths 10.158, 10.158, 9.158 Å; angles 94.18, 94.18, 19.99 degrees
Positions (direct):
Pr 0.011 0.011 0.319
Pr 0.334 0.334 0.402
Pr 0.666 0.666 0.598
Pr 0.989 0.989 0.681
Bi 0.137 0.137 0.901
Bi 0.174 0.174 0.288
Bi 0.500 0.500 0.000
Bi 0.826 0.826 0.712
Bi 0.863 0.863 0.099
H 0.451 0.451 0.462
H 0.549 0.549 0.538

- electronic total energy (eV/atom) = -4.469


Density functional theory data (GGA-PBE) for crystalline PrBiH at its relaxed geometry.

Cell lengths 4.187, 5.613, 6.324 Å; angles 85.15, 70.70, 89.92 degrees
Positions (direct):
Pr 0.149 0.287 0.202
Pr 0.851 0.713 0.798
Bi 0.423 0.213 0.652
Bi 0.577 0.787 0.348
H 0.275 0.619 0.951
H 0.725 0.381 0.049

- polymorph energy (0 for the lowest one) (eV/f.u.) = 0.046


Density functional theory data (GGA-PBE) for crystalline Pr2BiH at its relaxed geometry.

Cell lengths 9.158, 9.158, 4.413 Å; angles 90.00, 90.00, 147.57 degrees
Positions (direct):
Pr 0.000 0.000 0.000
Pr 0.181 0.819 0.500
Pr 0.500 0.500 0.500
Pr 0.819 0.181 0.500
Bi 0.349 0.651 0.000
Bi 0.651 0.349 0.000
H 0.054 0.946 0.500
H 0.946 0.054 0.500

- polymorph energy (0 for the lowest one) (eV/f.u.) = 0.130


Density functional theory data (GGA-PBE) for crystalline Pr5Bi5H2 at its relaxed geometry.

Cell lengths 6.579, 6.579, 14.024 Å; angles 113.69, 113.69, 40.65 degrees
Positions (direct):
Pr 0.000 0.000 0.000
Pr 0.120 0.120 0.417
Pr 0.353 0.353 0.243
Pr 0.647 0.647 0.757
Pr 0.880 0.880 0.583
Bi 0.292 0.292 0.939
Bi 0.355 0.355 0.737
Bi 0.500 0.500 0.500
Bi 0.645 0.645 0.263
Bi 0.708 0.708 0.061
H 0.070 0.070 0.713
H 0.930 0.930 0.287

- electronic total energy (eV/atom) = -4.777


Density functional theory data (GGA-PBE) for crystalline Pr6Bi3H at its relaxed geometry.

Cell lengths 10.053, 10.053, 6.497 Å; angles 90.00, 90.00, 104.92 degrees
Positions (direct):
Pr 0.082 0.918 0.500
Pr 0.094 0.545 0.720
Pr 0.260 0.355 0.155
Pr 0.279 0.721 0.243
Pr 0.355 0.260 0.655
Pr 0.455 0.906 0.720
Pr 0.545 0.094 0.220
Pr 0.645 0.740 0.155
Pr 0.721 0.279 0.743
Pr 0.740 0.645 0.655
Pr 0.906 0.455 0.220
Pr 0.918 0.082 0.000
Bi 0.032 0.241 0.513
Bi 0.241 0.032 0.013
Bi 0.414 0.586 0.818
Bi 0.586 0.414 0.318
Bi 0.759 0.968 0.513
Bi 0.968 0.759 0.013
H 0.225 0.775 0.581
H 0.775 0.225 0.081

- electronic total energy (eV/atom) = -4.890


Density functional theory data (GGA-PBE) for crystalline PrBiHRh at its relaxed geometry.

Cell lengths 4.835, 4.835, 3.714 Å; angles 90.00, 90.00, 120.00 degrees
Positions (direct):
Pr 0.000 0.000 0.000
Bi 0.333 0.667 0.500
H 0.667 0.333 0.000
Rh 0.667 0.333 0.500

- electronic total energy (eV/atom) = -5.478


> Which formula does entry 10 have?

Pr5Bi5H2